Entry from Alexandria via LeMat-Bulk: a relaxed structure of Mg4PRh (GGA-PBE).

Cell: 5.403 5.403 5.403 Å, 60.00 60.00 60.00°
Fractional coordinates of all 6 atoms:
Mg 0.376 0.376 0.376
Mg 0.376 0.376 0.873
Mg 0.376 0.873 0.376
Mg 0.873 0.376 0.376
P 0.000 0.000 0.000
Rh 0.750 0.750 0.750

The electronic total energy comes out at -17.74 eV per cell. The calculation puts the formation energy from the elements at 0.233 eV/atom. For the total magnetization, the calculation gives 0.00 Bohr magnetons per cell. As for the space group: No. 216.



Entry from Alexandria via LeMat-Bulk: a relaxed structure of CrCuSe2 (GGA-PBE).

Cell: 5.174 5.174 5.174 Å, 139.53 98.36 95.38°
Fractional coordinates of all 4 atoms:
Cr 0.000 0.000 0.000
Cu 0.500 0.500 0.000
Se 0.250 0.750 0.500
Se 0.750 0.250 0.500

The electronic total energy comes out at -20.35 eV per cell. Its uncorrected formation energy is 84 meV/atom. For the total magnetization, the calculation gives 3.17 Bohr magnetons per cell. The excess energy over the best structure of this formula in the dataset is 452.9 meV per atom. As for the space group: No. 71.



Entry from Alexandria via LeMat-Bulk: a relaxed structure of TcMo3 (GGA-PBE).

Cell: 5.569 5.569 4.678 Å, 90.00 90.00 120.00°
Fractional coordinates of all 8 atoms:
Tc 0.333 0.667 0.250
Tc 0.667 0.333 0.750
Mo 0.168 0.336 0.750
Mo 0.168 0.832 0.750
Mo 0.336 0.168 0.250
Mo 0.664 0.832 0.750
Mo 0.832 0.168 0.250
Mo 0.832 0.664 0.250

The electronic total energy comes out at -83.14 eV per cell. The calculation puts the formation energy from the elements at 0.323 eV/atom. For the total magnetization, the calculation gives 0.00 Bohr magnetons per cell. The excess energy over the best structure of this formula in the dataset is 300.7 meV per atom. As for the space group: No. 194.



Entry from Alexandria via LeMat-Bulk: a relaxed structure of Mg3HIr4 (GGA-PBE).

Cell: 4.880 4.880 4.880 Å, 99.04 99.04 99.04°
Fractional coordinates of all 8 atoms:
Mg 0.059 0.195 0.746
Mg 0.195 0.746 0.059
Mg 0.746 0.059 0.195
H 0.138 0.138 0.138
Ir 0.374 0.374 0.374
Ir 0.489 0.914 0.629
Ir 0.629 0.489 0.914
Ir 0.914 0.629 0.489

The electronic total energy comes out at -45.19 eV per cell. For the total magnetization, the calculation gives 0.00 Bohr magnetons per cell. The excess energy over the best structure of this formula in the dataset is 0.0 meV per atom. As for the space group: No. 146.



Entry from Alexandria via LeMat-Bulk: a relaxed structure of Cs2SbI2Cl4 (GGA-PBE).

Cell: 7.780 7.780 7.780 Å, 116.17 116.17 96.78°
Fractional coordinates of all 9 atoms:
Cs 0.250 0.750 0.500
Cs 0.750 0.250 0.500
Sb 0.000 0.000 0.000
I 0.283 0.283 0.000
I 0.717 0.717 0.000
Cl 0.221 0.221 0.442
Cl 0.221 0.779 0.000
Cl 0.779 0.221 0.000
Cl 0.779 0.779 0.558

The electronic total energy comes out at -27.10 eV per cell. Its uncorrected formation energy is -1198 meV/atom. For the total magnetization, the calculation gives 0.00 Bohr magnetons per cell. As for the space group: No. 139.



Entry from Alexandria via LeMat-Bulk: a relaxed structure of ZnI3Br (GGA-PBE).

Cell: 5.602 5.602 5.602 Å, 90.00 90.00 90.00°
Fractional coordinates of all 5 atoms:
Zn 0.000 0.000 0.000
I 0.000 0.000 0.500
I 0.000 0.500 0.000
I 0.500 0.000 0.000
Br 0.500 0.500 0.500

The electronic total energy comes out at -7.00 eV per cell. Its uncorrected formation energy is 119 meV/atom. For the total magnetization, the calculation gives 2.00 Bohr magnetons per cell. The excess energy over the best structure of this formula in the dataset is 0.0 meV per atom. As for the space group: No. 221.



Entry from Alexandria via LeMat-Bulk: a relaxed structure of KTbCuSe3 (GGA-PBE).

Cell: 9.125 4.089 9.670 Å, 90.00 108.37 90.00°
Fractional coordinates of all 12 atoms:
K 0.203 0.250 0.235
K 0.797 0.750 0.765
Tb 0.326 0.750 0.854
Tb 0.674 0.250 0.146
Cu 0.085 0.250 0.602
Cu 0.915 0.750 0.398
Se 0.108 0.250 0.860
Se 0.193 0.750 0.533
Se 0.460 0.750 0.165
Se 0.540 0.250 0.835
Se 0.807 0.250 0.467
Se 0.892 0.750 0.140

The electronic total energy comes out at -54.76 eV per cell. Its uncorrected formation energy is -1184 meV/atom. For the total magnetization, the calculation gives 0.00 Bohr magnetons per cell. As for the space group: No. 11.



Entry from Alexandria via LeMat-Bulk: a relaxed structure of NaMgIr3 (GGA-PBE).

Cell: 4.527 4.527 4.527 Å, 90.00 90.00 90.00°
Fractional coordinates of all 5 atoms:
Na 0.000 0.000 0.000
Mg 0.500 0.500 0.500
Ir 0.000 0.000 0.500
Ir 0.000 0.500 0.000
Ir 0.500 0.000 0.000

The electronic total energy comes out at -20.09 eV per cell. The calculation puts the formation energy from the elements at 1.882 eV/atom. For the total magnetization, the calculation gives 0.00 Bohr magnetons per cell. The excess energy over the best structure of this formula in the dataset is 390.6 meV per atom. As for the space group: No. 221.



Entry from Alexandria via LeMat-Bulk: a relaxed structure of BaSr12Li6 (GGA-PBE).

Cell: 10.392 10.392 10.392 Å, 109.47 109.47 109.47°
Fractional coordinates of all 19 atoms:
Ba 0.000 0.000 0.000
Sr 0.095 0.290 0.805
Sr 0.195 0.486 0.290
Sr 0.195 0.905 0.710
Sr 0.290 0.195 0.486
Sr 0.290 0.805 0.095
Sr 0.486 0.290 0.195
Sr 0.514 0.710 0.805
Sr 0.710 0.195 0.905
Sr 0.710 0.805 0.514
Sr 0.805 0.095 0.290
Sr 0.805 0.514 0.710
Sr 0.905 0.710 0.195
Li 0.116 0.500 0.616
Li 0.384 0.884 0.500
Li 0.500 0.384 0.884
Li 0.500 0.616 0.116
Li 0.616 0.116 0.500
Li 0.884 0.500 0.384

The electronic total energy comes out at -32.77 eV per cell. The calculation puts the formation energy from the elements at 0.043 eV/atom. For the total magnetization, the calculation gives 0.00 Bohr magnetons per cell. As for the space group: No. 204.



Entry from Alexandria via LeMat-Bulk: a relaxed structure of LiAc3La4Te8 (GGA-PBE).

Cell: 9.279 9.279 9.279 Å, 59.72 59.72 59.72°
Fractional coordinates of all 16 atoms:
Li 0.000 0.000 0.000
Ac 0.000 0.500 0.500
Ac 0.500 0.000 0.500
Ac 0.500 0.500 0.000
La 0.000 0.000 0.500
La 0.000 0.500 0.000
La 0.500 0.000 0.000
La 0.500 0.500 0.500
Te 0.238 0.756 0.756
Te 0.244 0.244 0.762
Te 0.244 0.762 0.244
Te 0.247 0.247 0.247
Te 0.753 0.753 0.753
Te 0.756 0.238 0.756
Te 0.756 0.756 0.238
Te 0.762 0.244 0.244

The electronic total energy comes out at -83.02 eV per cell. Its uncorrected formation energy is -1496 meV/atom. For the total magnetization, the calculation gives 0.00 Bohr magnetons per cell. As for the space group: No. 166.



Entry from Alexandria via LeMat-Bulk: a relaxed structure of ZnHgRu2 (GGA-PBE).

Cell: 2.839 3.523 6.435 Å, 90.00 90.00 90.00°
Fractional coordinates of all 4 atoms:
Zn 0.000 0.000 0.000
Hg 0.500 0.500 0.282
Ru 0.000 0.000 0.577
Ru 0.500 0.500 0.772

The electronic total energy comes out at -19.19 eV per cell. The calculation puts the formation energy from the elements at 0.233 eV/atom. For the total magnetization, the calculation gives 0.00 Bohr magnetons per cell. The excess energy over the best structure of this formula in the dataset is 91.4 meV per atom. As for the space group: No. 25.



Entry from Alexandria via LeMat-Bulk: a relaxed structure of Dy2RhI (GGA-PBE).

Cell: 8.275 8.275 8.275 Å, 28.49 28.49 28.49°
Fractional coordinates of all 4 atoms:
Dy 0.000 0.000 0.000
Dy 0.213 0.213 0.213
Rh 0.607 0.607 0.607
I 0.775 0.775 0.775

The electronic total energy comes out at -21.86 eV per cell. Its uncorrected formation energy is -939 meV/atom. For the total magnetization, the calculation gives 0.00 Bohr magnetons per cell. The excess energy over the best structure of this formula in the dataset is 9.9 meV per atom. As for the space group: No. 160.